1.
PrPaAl | PBE-GGA | relaxed

Lattice parameters (Å, degrees): 7.084 7.084 7.084 90.00 90.00 90.00
Space group F-43m (No. 216)
Unique sites:
Pr 0.000 0.000 0.000
Pa 0.000 0.000 0.500
Al 0.250 0.250 0.750

Properties
- raw total energy (eV/atom) = -5.61



2.
Pu3PaAl8 | PBE-GGA | relaxed

Lattice parameters (Å, degrees): 5.5073 5.5073 27.0776 90.00 90.00 120.00
Space group R3m (No. 160, hexagonal axes)
Unique sites:
Pu 0.0000 0.0000 0.0000
Pu 0.0000 0.0000 0.1261
Pu 0.0000 0.0000 0.5008
Pa 0.0000 0.0000 0.6257
Al 0.0000 0.0000 0.3135
Al 0.0000 0.0000 0.8129
Al 0.9996 0.4998 0.0628
Al 0.0004 0.5002 0.5637

Properties
- raw total energy (eV/atom) = -7.22



3.
PuPaAl | PBE-GGA | relaxed

Lattice parameters (Å, degrees): 6.437 6.437 6.437 90.00 90.00 90.00
Space group F-43m (No. 216)
Unique sites:
Pu 0.000 0.000 0.000
Pa 0.250 0.250 0.250
Al 0.250 0.250 0.750

Properties
- raw total energy (eV/atom) = -8.69



4.
RbPaAl | PBE-GGA | relaxed

Lattice parameters (Å, degrees): 7.532 7.532 7.532 90.00 90.00 90.00
Space group F-43m (No. 216)
Unique sites:
Rb 0.000 0.000 0.000
Pa 0.000 0.000 0.500
Al 0.250 0.250 0.750

Properties
- raw total energy (eV/atom) = -3.42